A plane-wave DFT calculation with PBE was carried out for crystalline Ho7SeI12 at its relaxed geometry.

## Properties
* calculated density: 6324 kg/m3
* crystal system: trigonal
* symmetry: R-3
* magnetic moment: 0.000 μB/atom
* E_form (uncorrected): -1.27 eV/atom

Cell: 9.641 9.641 9.641 Å, 108.05 108.05 108.05°
Fractional coordinates of all 20 atoms:
I 0.153 0.389 0.469
I 0.078 0.687 0.225
I 0.313 0.775 0.922
I 0.922 0.313 0.775
I 0.225 0.078 0.687
I 0.389 0.469 0.153
I 0.611 0.531 0.847
I 0.687 0.225 0.078
I 0.775 0.922 0.313
I 0.531 0.847 0.611
I 0.469 0.153 0.389
I 0.847 0.611 0.531
Ho 0.894 0.963 0.692
Ho 0.037 0.308 0.106
Ho 0.500 0.500 0.500
Ho 0.106 0.037 0.308
Ho 0.692 0.894 0.963
Ho 0.308 0.106 0.037
Ho 0.963 0.692 0.894
Se 0.000 0.000 0.000